[1]
4
Lattice="0.000 3.749 3.749 3.749 0.000 3.749 3.749 3.749 0.000" Properties=species:S:1:pos:R:3 comment="PBE LiAcHoGe, relaxed" total_magnetization_mub_per_fu=0.00 formation_enthalpy_0k_ev_per_atom=-0.3037 energy_ev_per_fu=-16.4 pbc="T T T"
Li 0.000 0.000 0.000
Ac 5.623 5.623 5.623
Ho 1.874 1.874 1.874
Ge 3.749 3.749 3.749



[2]
7
Lattice="1.499 -9.090 0.000 1.499 9.090 0.000 0.000 0.000 4.846" Properties=species:S:1:pos:R:3 comment="PBE Ti4Nb2Sn, relaxed" total_magnetization_mub_per_fu=0.00 relative_energy_ev_per_fu=0.00 formation_enthalpy_0k_ev_per_atom=0.2515 energy_ev_per_fu=-54.0 pbc="T T T"
Ti 1.499 5.830 0.000
Ti 1.499 3.504 2.423
Ti 1.499 -3.504 2.423
Ti 1.499 -5.830 0.000
Nb 1.499 7.801 2.423
Nb 1.499 -7.801 2.423
Sn 1.499 0.000 0.000